VASP calculation (PBE) on a relaxed PrHo2Os crystal.

Total magnetic moment (μB/cell): 0.0
Fermi-level density of states (states/eV per cell): 6.01
Energy above the lowest structure with this stoichiometry (meV/atom): 433

```
PrHo2Os
1.0
1.7452 1.0076 10.9534
-1.7452 1.0076 10.9534
0.0000 -2.0151 10.9534
Pr Ho Os
1 2 1
direct
0.0000 0.0000 0.0000
0.1076 0.1076 0.1076
0.8924 0.8924 0.8924
0.5000 0.5000 0.5000
```



VASP calculation (PBE) on a relaxed BaLiRe2 crystal.

Total magnetic moment (μB/cell): 0.0
Fermi-level density of states (states/eV per cell): 2.24
Energy above the lowest structure with this stoichiometry (meV/atom): 648

```
BaLiRe2
1.0
2.6148 -5.4207 0.0000
2.6148 5.4207 0.0000
0.0000 0.0000 2.8151
Ba Li Re
1 1 2
direct
0.0000 0.0000 0.0000
0.5000 0.5000 0.0000
0.0000 0.5000 0.5000
0.5000 0.0000 0.5000
```



no.,calculated formation energy (eV/atom)
1,0.23
2,1.16